Crystalline Cs2TiRuCl6 at its relaxed geometry. Source: Alexandria, functional GGA-PBE. Values from VASP.

- space-group type = I4/mmm (139)
- uncorrected formation energy (eV/atom) = -1.231
- DOS(E_F) (states/eV/f.u.) = 8.0
- total energy (Ry per atom) = -0.3107
- total magnetic moment (μB per atom) = 0.200

Structure (Quantum ESPRESSO input):
```
&SYSTEM
  ibrav = 0, nat = 10, ntyp = 4
/
ATOMIC_SPECIES
Cs 132.91 Cs.upf
Ru 101.07 Ru.upf
Cl 35.45 Cl.upf
Ti 47.87 Ti.upf
ATOMIC_POSITIONS crystal
Cs 0.7500 0.2500 0.5000
Cs 0.2500 0.7500 0.5000
Ru 0.0000 0.0000 0.0000
Cl 0.2523 0.2523 0.4954
Cl 0.7477 0.7477 0.5046
Cl 0.2541 0.2541 0.0000
Cl 0.7459 0.7459 0.0000
Cl 0.7459 0.2541 0.0000
Cl 0.2541 0.7459 0.0000
Ti 0.5000 0.5000 0.0000
CELL_PARAMETERS angstrom
-0.5682 -0.9435 -7.0618
5.9310 -3.9877 0.0555
-0.0970 -6.5871 -2.7289
```